The following is a DFT calculation (GGA-PBE) of a relaxed structure of MnGeTe2I.

```
MnGeTe2I
1.0
5.317 0.000 0.000
0.000 5.317 0.000
0.000 0.000 5.367
Mn Ge Te I
1 1 2 1
direct
0.000 0.000 0.000 Mn
0.500 0.500 0.500 Ge
0.000 0.500 0.000 Te
0.500 0.000 0.000 Te
0.000 0.000 0.500 I
```

- Space group: No. 123
- Crystal system: tetragonal
- Formation energy (no corrections): 0.366 eV per atom

---

The following is a DFT calculation (GGA-PBE) of a relaxed structure of Tm5PuAg4.

```
Tm5PuAg4
1.0
3.529 0.000 0.000
0.000 3.529 0.000
0.000 0.000 19.429
Tm Pu Ag
5 1 4
direct
0.000 0.000 0.000 Tm
0.000 0.000 0.189 Tm
0.000 0.000 0.377 Tm
0.000 0.000 0.623 Tm
0.000 0.000 0.811 Tm
0.500 0.500 0.500 Pu
0.500 0.500 0.094 Ag
0.500 0.500 0.284 Ag
0.500 0.500 0.716 Ag
0.500 0.500 0.906 Ag
```

- Space group: No. 123
- Crystal system: tetragonal
- E_form: -234 meV per atom

---

The following is a DFT calculation (GGA-PBE) of a relaxed structure of Ba2Ga3CuPt4.

```
Ba2Ga3CuPt4
1.0
4.531 0.000 0.000
0.000 4.531 0.000
0.000 0.000 10.365
Ba Ga Cu Pt
2 3 1 4
direct
0.000 0.500 0.247 Ba
0.500 0.000 0.753 Ba
0.000 0.000 0.000 Ga
0.000 0.500 0.620 Ga
0.500 0.000 0.380 Ga
0.500 0.500 0.000 Cu
0.000 0.000 0.500 Pt
0.000 0.500 0.871 Pt
0.500 0.000 0.129 Pt
0.500 0.500 0.500 Pt
```

- Space group: No. 115
- Crystal system: tetragonal
- E_form: -699 meV per atom

---

The following is a DFT calculation (GGA-PBE) of a relaxed structure of SmZnF5.

```
SmZnF5
1.0
4.608 -3.403 0.000
4.608 3.403 0.000
-3.251 0.000 7.053
Sm Zn F
2 2 10
direct
0.055 0.945 0.750 Sm
0.945 0.055 0.250 Sm
0.500 0.500 0.000 Zn
0.500 0.500 0.500 Zn
0.179 0.804 0.034 F
0.196 0.821 0.466 F
0.241 0.286 0.378 F
0.286 0.241 0.878 F
0.396 0.604 0.750 F
0.604 0.396 0.250 F
0.714 0.759 0.122 F
0.759 0.714 0.622 F
0.804 0.179 0.534 F
0.821 0.196 0.966 F
```

- Space group: No. 15
- Crystal system: monoclinic
- Formation energy (no corrections): -3.312 eV per atom

---

The following is a DFT calculation (GGA-PBE) of a relaxed structure of HfSc2SbBr.

```
HfSc2SbBr
1.0
5.430 0.000 0.000
0.000 5.430 0.000
0.000 0.000 5.591
Hf Sc Sb Br
1 2 1 1
direct
0.000 0.000 0.000 Hf
0.000 0.500 0.500 Sc
0.500 0.000 0.500 Sc
0.500 0.500 0.500 Sb
0.500 0.500 0.000 Br
```

- Space group: No. 123
- Crystal system: tetragonal
- Formation energy (no corrections): 0.775 eV per atom

---

The following is a DFT calculation (GGA-PBE) of a relaxed structure of BaPrTlAg.

```
BaPrTlAg
1.0
0.000 4.029 4.029
4.029 0.000 4.029
4.029 4.029 0.000
Ba Pr Tl Ag
1 1 1 1
direct
0.000 0.000 0.000 Ba
0.500 0.500 0.500 Pr
0.250 0.250 0.250 Tl
0.750 0.750 0.750 Ag
```

- Space group: No. 216
- Crystal system: cubic
- E_form: -226 meV per atom

---

The following is a DFT calculation (GGA-PBE) of a relaxed structure of Tm3TiRu4.

```
Tm3TiRu4
1.0
3.266 0.000 0.000
0.000 3.266 0.000
0.000 0.000 13.287
Tm Ti Ru
3 1 4
direct
0.000 0.000 0.000 Tm
0.000 0.000 0.256 Tm
0.000 0.000 0.744 Tm
0.000 0.000 0.500 Ti
0.500 0.500 0.130 Ru
0.500 0.500 0.391 Ru
0.500 0.500 0.609 Ru
0.500 0.500 0.870 Ru
```

- Space group: No. 123
- Crystal system: tetragonal
- E_form: -476 meV per atom

---

The following is a DFT calculation (GGA-PBE) of a relaxed structure of Ac2PmTm.

```
Ac2PmTm
1.0
3.883 0.000 0.000
0.000 3.883 0.000
0.000 0.000 10.092
Ac Pm Tm
2 1 1
direct
0.000 0.000 0.244 Ac
0.000 0.000 0.756 Ac
0.500 0.500 0.500 Pm
0.500 0.500 0.000 Tm
```

- Space group: No. 123
- Crystal system: tetragonal
- E_form: 49 meV per atom

---

Number 1: raw total energy -3.96 eV per atom. Number 2: raw total energy -5.04 eV per atom. Number 3: raw total energy -4.82 eV per atom. Number 4: raw total energy -5.50 eV per atom. Number 5: raw total energy -4.91 eV per atom. Number 6: raw total energy -3.21 eV per atom. Number 7: raw total energy -7.78 eV per atom. Number 8: raw total energy -4.31 eV per atom.